BeAl2Cu2 after structural relaxation, computed with GGA-PBE.

As for the total magnetization: 0.000 μB per cell. As for the formation enthalpy at 0 K: 0.03 eV per atom. The energy above the lowest structure with this stoichiometry comes out at 0 meV per atom.

a = 5.968 Å, b = 5.968 Å, c = 3.724 Å
α = 90.00°, β = 90.00°, γ = 90.00°
Atoms (fractional coordinates):
Be (0.000, 0.000, 0.000)
Be (0.500, 0.500, 0.000)
Al (0.164, 0.336, 0.500)
Al (0.336, 0.836, 0.500)
Al (0.664, 0.164, 0.500)
Al (0.836, 0.664, 0.500)
Cu (0.147, 0.647, 0.000)
Cu (0.353, 0.147, 0.000)
Cu (0.647, 0.853, 0.000)
Cu (0.853, 0.353, 0.000)